Record 1
First-principles (PBE) data for an optimized crystal structure of ErTeRh2, as listed in Alexandria via LeMat-Bulk.

Summary:
ΔE_f (raw)	-639	meV per atom

a = 4.4235 Å, b = 4.4235 Å, c = 3.8092 Å
α = 90.00°, β = 90.00°, γ = 90.00°
With the nearest neighbours (Å) after each atom.
Space group P4/mmm (No. 123)
Symmetry-distinct sites (fractional):
Er 0.0000 0.0000 0.0000 x1  8 Rh 2.92, 4 Te 3.13
Te 0.5000 0.5000 0.0000 x1  8 Rh 2.92, 4 Er 3.13
Rh 0.0000 0.5000 0.5000 x2  4 Te 2.92, 4 Er 2.92, 4 Rh 3.13


Record 2
First-principles (PBE) data for an optimized crystal structure of TaSb3Ru, as listed in Alexandria via LeMat-Bulk.

Summary:
excess energy over the best structure of this formula in the dataset	0	meV/atom
ΔE_f (raw)	1118	meV per atom

a = 5.0468 Å, b = 5.0468 Å, c = 5.0468 Å
α = 90.00°, β = 90.00°, γ = 90.00°
With the nearest neighbours (Å) after each atom.
Space group Pm-3m (No. 221)
Symmetry-distinct sites (fractional):
Ta 0.0000 0.0000 0.0000 x1  12 Sb 3.57
Sb 0.0000 0.5000 0.5000 x3  2 Ru 2.52
Ru 0.5000 0.5000 0.5000 x1  6 Sb 2.52


Record 3
First-principles (PBE) data for an optimized crystal structure of Zn2Sb2Te, as listed in Alexandria via LeMat-Bulk.

Summary:
excess energy over the best structure of this formula in the dataset	80	meV/atom
ΔE_f (raw)	211	meV per atom

a = 4.9743 Å, b = 4.9743 Å, c = 10.4701 Å
α = 90.00°, β = 90.00°, γ = 90.00°
With the nearest neighbours (Å) after each atom.
Space group I4/mmm (No. 139)
Symmetry-distinct sites (fractional):
Zn 0.0000 0.5000 0.2500 x4  4 Sb 2.76
Sb 0.0000 0.0000 0.1353 x4  4 Zn 2.76, 1 Sb 2.83
Te 0.0000 0.0000 0.5000 x2  8 Zn 3.61, 10 Sb 3.79-3.82


Record 4
First-principles (PBE) data for an optimized crystal structure of NbTcNi, as listed in Alexandria via LeMat-Bulk.

Summary:
formation enthalpy at 0 K	-0.1517	eV/atom
excess energy over the best structure of this formula in the dataset	0	meV/atom

a = 4.9522 Å, b = 7.3225 Å, c = 4.8667 Å
α = 90.00°, β = 90.00°, γ = 90.00°
With the nearest neighbours (Å) after each atom.
Space group Ima2 (No. 46)
Symmetry-distinct sites (fractional):
Nb 0.2500 0.1258 0.0000 x4  5 Ni 2.82-3.00, 6 Tc 2.82-3.01, 4 Nb 3.04-3.09
Tc 0.0000 0.0000 0.5152 x4  2 Tc 2.48, 4 Ni 2.52-2.55
Ni 0.2500 0.7305 0.7260 x4  2 Ni 2.45, 4 Tc 2.52-2.55


Record 5
First-principles (PBE) data for an optimized crystal structure of LiTiBi2S5, as listed in Alexandria via LeMat-Bulk.

Summary:
ΔE_f (raw)	-706	meV per atom

a = 3.7012 Å, b = 16.5530 Å, c = 13.1279 Å
α = 90.00°, β = 90.00°, γ = 90.00°
With the nearest neighbours (Å) after each atom.
Space group Cmc2_1 (No. 36)
Symmetry-distinct sites (fractional):
Li 0.0000 0.0559 0.0000 x4  4 S 2.35-2.42
Ti 0.0000 0.2857 0.6188 x4  6 S 2.44-2.55
Bi 0.0000 0.3444 0.8995 x4  3 S 2.64-2.86
Bi 0.0000 0.4389 0.2216 x4  3 S 2.58-2.69
S 0.0000 0.0098 0.3408 x4  1 Li 2.36
S 0.0000 0.1379 0.5643 x4  1 Ti 2.55
S 0.0000 0.2018 0.9888 x4  1 Li 2.42, 2 Ti 2.53, 1 Bi 2.64
S 0.0000 0.2381 0.2436 x4  2 Ti 2.50
S 0.0000 0.4330 0.6091 x4  2 Li 2.35, 1 Ti 2.44, 1 Bi 2.58


Record 6
First-principles (PBE) data for an optimized crystal structure of NbPdI, as listed in Alexandria via LeMat-Bulk.

Summary:
excess energy over the best structure of this formula in the dataset	280	meV/atom
ΔE_f (raw)	197	meV per atom

a = 5.9981 Å, b = 3.4643 Å, c = 6.9788 Å
α = 90.00°, β = 106.32°, γ = 90.00°
With the nearest neighbours (Å) after each atom.
Space group Cm (No. 8)
Symmetry-distinct sites (fractional):
Nb 0.0000 0.0000 0.0000 x2  3 Pd 2.67-2.68, 3 I 2.86
Pd 0.0802 0.5000 0.7343 x2  3 Nb 2.67-2.68, 1 I 2.88
I 0.4333 0.0000 0.3047 x2  3 Nb 2.86, 1 Pd 2.88


Record 7
First-principles (PBE) data for an optimized crystal structure of CrHgMo2, as listed in Alexandria via LeMat-Bulk.

Summary:
formation enthalpy at 0 K	0.4735	eV/atom

a = 2.7802 Å, b = 4.3692 Å, c = 5.5352 Å
α = 90.00°, β = 101.32°, γ = 90.00°
With the nearest neighbours (Å) after each atom.
Space group Pm (No. 6)
Symmetry-distinct sites (fractional):
Cr 0.0000 0.0000 0.0000 x1  3 Mo 2.34-2.56
Hg 0.9303 0.5000 0.3094 x1  2 Hg 2.78, 2 Cr 2.81, 7 Mo 2.85-3.04
Mo 0.2800 0.5000 0.8295 x1  2 Cr 2.56, 4 Mo 2.74-2.78, 1 Hg 2.85
Mo 0.5643 0.0000 0.5935 x1  1 Cr 2.34


Record 8
First-principles (PBE) data for an optimized crystal structure of Y3AlN, as listed in Alexandria via LeMat-Bulk.

Summary:
ΔE_f (raw)	-770	meV per atom

a = 3.5745 Å, b = 3.5745 Å, c = 8.4223 Å
α = 90.00°, β = 90.00°, γ = 90.00°
With the nearest neighbours (Å) after each atom.
Space group P4/mmm (No. 123)
Symmetry-distinct sites (fractional):
Y 0.0000 0.0000 0.0000 x1  4 N 2.53
Y 0.5000 0.5000 0.2810 x2  1 N 2.37
Al 0.0000 0.0000 0.5000 x1  8 Y 3.13
N 0.5000 0.5000 0.0000 x1  6 Y 2.37-2.53